The following is a DFT calculation (PBE-GGA) of a relaxed AlCCl3 crystal.

The space group is Pm-3m (No. 221) and the conventional cell measures 4.5750, 4.5750 and 4.5750 Å, with angles of 90.00, 90.00 and 90.00 degrees. The asymmetric unit holds Al at (0.0000, 0.0000, 0.0000), C at (0.5000, 0.5000, 0.5000) and Cl at (0.0000, 0.5000, 0.5000).

Its volume is 19.2 Å³ per atom. The value obtained for the density of states at the Fermi level is 0.23 states/eV/cell. For the energy relative to the elements, uncorrected, the calculation gives 3.66 eV per formula unit. The value obtained for the energy is -2.969 eV per atom.